Material: DyAl12Cu4
Method: DFT, PBE-GGA
State: optimized geometry

Values from the calculation:
space group: Im-3
electronic total energy: -64.83 eV for the cell shown
DFT formation energy: 0.063 eV per atom

Geometry as extended XYZ:
```
17
Lattice="7.4245 0.0000 0.0000 -2.4748 6.9999 0.0000 -2.4748 -3.4999 6.0621" Properties=species:S:1:pos:R:3 pbc="T T T"
Al -1.5996 4.6560 2.0678
Dy 0.0000 0.0000 0.0000
Al 0.8752 2.9627 0.9959
Al 2.4481 5.1871 0.9959
Cu 1.2374 1.7500 3.0310
Al -0.0267 3.5438 3.9942
Al 0.0267 -1.6872 5.0661
Cu -1.2374 -1.7500 3.0310
Cu 3.7122 0.0000 0.0000
Al -0.8752 0.6189 3.0637
Al 3.3500 2.8811 2.9983
Al -2.4481 1.7311 4.9902
Al 4.9229 1.7688 1.0719
Al 4.0744 -1.1561 3.9942
Cu -1.2374 3.4999 0.0000
Al 1.5996 0.5372 5.0661
Al 2.5015 -0.0439 2.0678
```